{
  "formula": "RbMg3Ge",
  "functional": "PBE",
  "state": "optimized geometry",
  "cell": [[-2.4027, 0.4908, -5.6450], [-1.7050, -5.9100, 0.2118], [-5.4037, 1.6465, 2.4431]],
  "species": ["Mg", "Mg", "Mg", "Rb", "Ge"],
  "fractional_positions": [[0.5000, 0.0000, 0.0000], [0.0000, 0.5000, 0.0000], [0.0000, 0.0000, 0.5000], [0.0000, 0.0000, 0.0000], [0.5000, 0.5000, 0.5000]],
  "dos_ef_per_ev_fu": 7.0,
  "sg": "Pm-3m",
  "e_form_kj_per_mol_atoms": 140.6,
  "total_energy_ev_per_atom": -0.617
}